Record 1
DFT (GGA-PBEsol) results for crystalline InCoAu2 at its relaxed geometry.

Values from the calculation:
The formation energy from the elements comes out at 0.097 eV/atom. The value obtained for the density of states at the Fermi level is 3.97 states/eV/cell.

a = 3.150 Å, b = 3.299 Å, c = 6.166 Å
α = 90.00°, β = 90.00°, γ = 90.00°
Space group Pmm2 (No. 25)
Asymmetric unit:
In: 0.000 0.000 0.000 [1 per cell]
Co: 0.500 0.500 0.774 [1 per cell]
Au: 0.000 0.000 0.546 [1 per cell]
Au: 0.500 0.500 0.277 [1 per cell]

---

Record 2
DFT (GGA-PBEsol) results for crystalline Cd2AgSe at its relaxed geometry.

Values from the calculation:
The energy relative to the elements, uncorrected is 0.081 eV/atom. The value obtained for the density of states at the Fermi level is 1.84 states/eV/cell.

a = 3.057 Å, b = 3.057 Å, c = 8.516 Å
α = 90.00°, β = 90.00°, γ = 90.00°
Space group P4mm (No. 99)
Asymmetric unit:
Cd: 0.000 0.000 0.000 [1 per cell]
Cd: 0.500 0.500 0.261 [1 per cell]
Ag: 0.000 0.000 0.493 [1 per cell]
Se: 0.500 0.500 0.726 [1 per cell]

---

Record 3
DFT (GGA-PBEsol) results for crystalline Ta5Mo3 at its relaxed geometry.

Values from the calculation:
As for the polymorph energy (0 for the lowest one): 34.7 meV/atom. The formation energy from the elements comes out at -0.097 eV/atom. The value obtained for the density of states at the Fermi level is 22.44 states/eV/cell.

a = 4.5420 Å, b = 4.5420 Å, c = 22.3331 Å
α = 90.00°, β = 90.00°, γ = 120.00°
Space group R3m (No. 160, hexagonal axes)
Asymmetric unit:
Ta: 0.0000 0.0000 0.0000 [3 per cell]
Ta: 0.0000 0.0000 0.1254 [3 per cell]
Ta: 0.0000 0.0000 0.2547 [3 per cell]
Ta: 0.0000 0.0000 0.5012 [3 per cell]
Ta: 0.0000 0.0000 0.8727 [3 per cell]
Mo: 0.0000 0.0000 0.3780 [3 per cell]
Mo: 0.0000 0.0000 0.6272 [3 per cell]
Mo: 0.0000 0.0000 0.7478 [3 per cell]

---

Record 4
DFT (GGA-PBEsol) results for crystalline Sc2ReRu at its relaxed geometry.

Values from the calculation:
The formation energy from the elements comes out at -0.127 eV/atom. The value obtained for the density of states at the Fermi level is 2.93 states/eV/cell.

a = 2.923 Å, b = 2.923 Å, c = 8.406 Å
α = 90.00°, β = 90.00°, γ = 90.00°
Space group P4mm (No. 99)
Asymmetric unit:
Sc: 0.000 0.000 0.000 [1 per cell]
Sc: 0.500 0.500 0.350 [1 per cell]
Re: 0.000 0.000 0.586 [1 per cell]
Ru: 0.500 0.500 0.773 [1 per cell]